# 1
First-principles (PBE) data for an optimized crystal structure of Li2DyErSe4, as listed in Alexandria.

Properties
The final energy is -5.064 eV per atom. As for the crystal system: monoclinic. The value obtained for the density of states at the Fermi level is 0.00 states/eV/atom.

a b c (Å): 6.900 4.054 7.019
angles (deg): 90.00 109.80 90.00
Space group P2/m (No. 10)
One atom of each set of equivalent atoms:
Li  0.000  0.000  0.000 (multiplicity 1)
Li  0.000  0.500  0.500 (multiplicity 1)
Dy  0.500  0.000  0.500 (multiplicity 1)
Er  0.500  0.500  0.000 (multiplicity 1)
Se  0.247  0.500  0.247 (multiplicity 2)
Se  0.248  0.000  0.751 (multiplicity 2)

# 2
First-principles (PBE) data for an optimized crystal structure of LiDyErSe3, as listed in Alexandria.

Properties
The final energy is -5.207 eV per atom. As for the crystal system: monoclinic. The value obtained for the density of states at the Fermi level is 0.38 states/eV/atom.

a b c (Å): 8.296 3.932 8.713
angles (deg): 90.00 102.90 90.00
Space group P2_1/m (No. 11)
One atom of each set of equivalent atoms:
Li  0.087  0.250  0.084 (multiplicity 2)
Dy  0.187  0.250  0.724 (multiplicity 2)
Er  0.335  0.750  0.335 (multiplicity 2)
Se  0.092  0.250  0.372 (multiplicity 2)
Se  0.226  0.750  0.994 (multiplicity 2)
Se  0.424  0.750  0.672 (multiplicity 2)

# 3
First-principles (PBE) data for an optimized crystal structure of Li2DyEr3Se6, as listed in Alexandria.

Properties
The final energy is -5.303 eV per atom. As for the crystal system: monoclinic. The value obtained for the density of states at the Fermi level is 0.21 states/eV/atom.

a b c (Å): 6.949 12.029 6.969
angles (deg): 90.00 109.44 90.00
Space group C2/m (No. 12)
One atom of each set of equivalent atoms:
Li  0.000  0.168  0.000 (multiplicity 4)
Dy  0.000  0.500  0.000 (multiplicity 2)
Er  0.000  0.000  0.500 (multiplicity 2)
Er  0.000  0.334  0.500 (multiplicity 4)
Se  0.242  0.000  0.245 (multiplicity 4)
Se  0.249  0.170  0.755 (multiplicity 8)

# 4
First-principles (PBE) data for an optimized crystal structure of LiDyEr2Se4, as listed in Alexandria.

Properties
The final energy is -5.423 eV per atom. As for the crystal system: monoclinic. The value obtained for the density of states at the Fermi level is 0.32 states/eV/atom.

a b c (Å): 6.980 4.015 6.985
angles (deg): 90.00 109.25 90.00
Space group P2/m (No. 10)
One atom of each set of equivalent atoms:
Li  0.000  0.000  0.000 (multiplicity 1)
Dy  0.000  0.500  0.500 (multiplicity 1)
Er  0.500  0.000  0.500 (multiplicity 1)
Er  0.500  0.500  0.000 (multiplicity 1)
Se  0.246  0.500  0.244 (multiplicity 2)
Se  0.248  0.000  0.757 (multiplicity 2)

# 5
First-principles (PBE) data for an optimized crystal structure of Li3DyEr2Se6, as listed in Alexandria.

Properties
The final energy is -5.062 eV per atom. As for the crystal system: monoclinic. The value obtained for the density of states at the Fermi level is 0.00 states/eV/atom.

a b c (Å): 7.011 12.144 6.899
angles (deg): 90.00 109.81 90.00
Space group C2/m (No. 12)
One atom of each set of equivalent atoms:
Li  0.000  0.000  0.000 (multiplicity 2)
Li  0.000  0.333  0.000 (multiplicity 4)
Dy  0.000  0.500  0.500 (multiplicity 2)
Er  0.000  0.167  0.500 (multiplicity 4)
Se  0.248  0.168  0.248 (multiplicity 8)
Se  0.249  0.000  0.752 (multiplicity 4)

# 6
First-principles (PBE) data for an optimized crystal structure of LiDy3Er3Se8, as listed in Alexandria.

Properties
The final energy is -5.598 eV per atom. As for the crystal system: trigonal. The value obtained for the density of states at the Fermi level is 0.29 states/eV/atom.

a b c (Å): 8.0605 8.0605 19.7705
angles (deg): 90.00 90.00 120.00
Space group R-3m (No. 166, hexagonal axes)
One atom of each set of equivalent atoms:
Li  0.0000  0.0000  0.0000 (multiplicity 3)
Dy  0.0000  0.5000  0.5000 (multiplicity 9)
Er  0.0000  0.5000  0.0000 (multiplicity 9)
Se  0.0000  0.0000  0.2510 (multiplicity 6)
Se  0.0021  0.5010  0.7485 (multiplicity 18)

What is the final energy in the fifth record?
-5.062 eV per atom

What is the final energy in the fourth record?
-5.423 eV per atom